1.
# GaCuAu2 PBE optimized geometry
# Energy relative to the elements = -0.007 eV/atom
# M_tot = 0.00 μB per cell
# Crystal system = trigonal
# Volume = 215.4 Å³ per cell
data_GaCuAu2
_cell_length_a 4.3195
_cell_length_b 4.3195
_cell_length_c 13.3288
_cell_angle_alpha 90.00
_cell_angle_beta 90.00
_cell_angle_gamma 120.00
_space_group_name_H-M_alt 'R 3 m'
_space_group_IT_number 160
_space_group_name_Hall 'R 3 -2"'
loop_
_atom_site_label
_atom_site_type_symbol
_atom_site_fract_x
_atom_site_fract_y
_atom_site_fract_z
Ga1 Ga 0.0000 0.0000 0.0000
Cu1 Cu 0.0000 0.0000 0.8087
Au1 Au 0.0000 0.0000 0.3898
Au2 Au 0.0000 0.0000 0.5952

2.
# SmZr2Sc3N6 PBE optimized geometry
# M_tot = 0.00 μB per cell
# Crystal system = monoclinic
# Energy relative to the elements, uncorrected = -1.749 eV per atom
# Volume = 301.1 Å³ per cell
data_SmZr2Sc3N6
_cell_length_a 14.292
_cell_length_b 3.283
_cell_length_c 6.581
_cell_angle_alpha 90.00
_cell_angle_beta 102.87
_cell_angle_gamma 90.00
_space_group_name_H-M_alt 'C 1 2/m 1'
_space_group_IT_number 12
_space_group_name_Hall '-C 2y'
loop_
_atom_site_label
_atom_site_type_symbol
_atom_site_fract_x
_atom_site_fract_y
_atom_site_fract_z
Sm1 Sm 0.000 0.000 0.000
Zr1 Zr 0.168 0.500 0.337
Sc1 Sc 0.000 0.000 0.500
Sc2 Sc 0.168 0.500 0.832
N1 N 0.003 0.500 0.271
N2 N 0.168 0.000 0.584
N3 N 0.174 0.000 0.091

3.
# CaAcAs PBE optimized geometry
# Energy relative to the elements = -0.735 eV/atom
# M_tot = 0.00 μB per cell
# Crystal system = cubic
# Volume = 391.8 Å³ per cell
data_CaAcAs
_cell_length_a 7.318
_cell_length_b 7.318
_cell_length_c 7.318
_cell_angle_alpha 90.00
_cell_angle_beta 90.00
_cell_angle_gamma 90.00
_space_group_name_H-M_alt 'F -4 3 m'
_space_group_IT_number 216
_space_group_name_Hall 'F -4 2 3'
loop_
_atom_site_label
_atom_site_type_symbol
_atom_site_fract_x
_atom_site_fract_y
_atom_site_fract_z
Ca1 Ca 0.000 0.000 0.000
Ac1 Ac 0.000 0.000 0.500
As1 As 0.250 0.250 0.250

4.
# LiW3Br PBE optimized geometry
# M_tot = 0.00 μB per cell
# Crystal system = cubic
# Energy relative to the elements, uncorrected = 2.133 eV per atom
# Volume = 98.8 Å³ per cell
data_LiW3Br
_cell_length_a 4.623
_cell_length_b 4.623
_cell_length_c 4.623
_cell_angle_alpha 90.00
_cell_angle_beta 90.00
_cell_angle_gamma 90.00
_space_group_name_H-M_alt 'P m -3 m'
_space_group_IT_number 221
_space_group_name_Hall '-P 4 2 3'
loop_
_atom_site_label
_atom_site_type_symbol
_atom_site_fract_x
_atom_site_fract_y
_atom_site_fract_z
Li1 Li 0.000 0.000 0.000
W1 W 0.000 0.500 0.500
Br1 Br 0.500 0.500 0.500

5.
# TbAlAu PBE optimized geometry
# Energy relative to the elements = -0.737 eV/atom
# M_tot = 0.00 μB per cell
# Crystal system = tetragonal
# Volume = 129.5 Å³ per cell
data_TbAlAu
_cell_length_a 4.276
_cell_length_b 4.276
_cell_length_c 7.083
_cell_angle_alpha 90.00
_cell_angle_beta 90.00
_cell_angle_gamma 90.00
_space_group_name_H-M_alt 'P 4/n m m'
_space_group_IT_number 129
loop_
_space_group_symop_operation_xyz
'x,y,z'
'-x,-y,-z'
'-y+1/2,x,z'
'y+1/2,-x,-z'
'-x+1/2,-y+1/2,z'
'x+1/2,y+1/2,-z'
'y,-x+1/2,z'
'-y,x+1/2,-z'
'x+1/2,-y,-z'
'-x+1/2,y,z'
'-y,-x,-z'
'y,x,z'
'-x,y+1/2,-z'
'x,-y+1/2,z'
'y+1/2,x+1/2,-z'
'-y+1/2,-x+1/2,z'
loop_
_atom_site_label
_atom_site_type_symbol
_atom_site_fract_x
_atom_site_fract_y
_atom_site_fract_z
Tb1 Tb 0.250 0.250 0.162
Al1 Al 0.250 0.750 0.500
Au1 Au 0.250 0.250 0.732

6.
# Sb3RhAu PBE optimized geometry
# M_tot = 0.00 μB per cell
# Crystal system = cubic
# Energy relative to the elements, uncorrected = 0.380 eV per atom
# Volume = 134.8 Å³ per cell
data_Sb3RhAu
_cell_length_a 5.128
_cell_length_b 5.128
_cell_length_c 5.128
_cell_angle_alpha 90.00
_cell_angle_beta 90.00
_cell_angle_gamma 90.00
_space_group_name_H-M_alt 'P m -3 m'
_space_group_IT_number 221
_space_group_name_Hall '-P 4 2 3'
loop_
_atom_site_label
_atom_site_type_symbol
_atom_site_fract_x
_atom_site_fract_y
_atom_site_fract_z
Sb1 Sb 0.000 0.000 0.500
Rh1 Rh 0.000 0.000 0.000
Au1 Au 0.500 0.500 0.500